Crystalline ZnRh3 at its relaxed geometry, computed with PBE.

POSCAR file:
```
ZnRh3
1.0
2.7391 0.0000 0.0000
-1.3696 2.3722 0.0000
0.0000 0.0000 8.6909
Zn Rh
1 3
direct
0.0000 0.0000 0.0000
0.0000 0.0000 0.5000
0.6667 0.3333 0.2452
0.6667 0.3333 0.7548
```

Calculated values
- size of the total moment (μB per formula unit) = 0.00
- electronic total energy (eV/cell) = -23.73
- energy of formation (eV/atom) = -0.100
- space-group type = P-6m2, No. 187
- crystal system = hexagonal